The following is a PBE calculation of a relaxed Nd4Dy15Mg crystal, from Alexandria via LeMat-Bulk.

Cell lengths 5.031, 5.031, 25.143 Å; angles 90.00, 90.00, 90.00 degrees
Atoms (fractional coordinates):
Nd: 0.000 0.000 0.101
Nd: 0.000 0.000 0.303
Nd: 0.000 0.000 0.697
Nd: 0.000 0.000 0.899
Dy: 0.000 0.500 0.000
Dy: 0.000 0.500 0.202
Dy: 0.000 0.500 0.403
Dy: 0.000 0.500 0.597
Dy: 0.000 0.500 0.798
Dy: 0.500 0.000 0.000
Dy: 0.500 0.000 0.202
Dy: 0.500 0.000 0.403
Dy: 0.500 0.000 0.597
Dy: 0.500 0.000 0.798
Dy: 0.500 0.500 0.101
Dy: 0.500 0.500 0.305
Dy: 0.500 0.500 0.500
Dy: 0.500 0.500 0.695
Dy: 0.500 0.500 0.899
Mg: 0.000 0.000 0.500

Output
As for the volume: 31.8 Å³ per atom. As for the magnetization: 0.000 μB/cell. As for the formation energy: 0.02 eV per atom. Its crystal system is tetragonal. The total energy comes out at -4.46 eV/atom. The symmetry is P4/mmm, No. 123.